Sm2Ga5Ag | PBE-GGA | optimized geometry

```
8
Lattice="-3.085 3.085 4.355 3.085 -3.085 4.355 3.085 3.085 -4.355" Properties=species:S:1:pos:R:3 pbc="T T T"
Sm 3.085 0.000 0.000
Sm 0.000 3.085 0.000
Ga 0.000 0.000 0.243
Ga 1.671 1.671 2.173
Ga 1.414 -1.414 6.529
Ga -1.414 1.414 6.529
Ga 1.414 1.414 6.529
Ag 0.000 0.000 3.762
```

Computed properties:
As for the formation energy from the elements: -3.7 eV per formula unit. The calculation puts the density of states at the Fermi level at 3.428 states/eV per cell. For the total magnetization, the calculation gives 0.0 μB per formula unit.